Cs2PmTlSe4 GGA-PBE optimized geometry; uncorrected formation energy = -1.05 eV/atom; DOS at the Fermi energy = 0.30 states/eV per atom
1.0
9.1968 -0.2230 0.0254
-0.2294 9.1966 0.0254
-4.3660 -4.3691 6.5981
Pm Se Cs Tl
2 8 4 2
Direct
0.0000 0.5000 0.5000
0.0000 0.5000 0.0000
0.7537 0.7132 0.5259
0.2132 0.2537 0.0259
0.2196 0.6950 0.4517
0.7868 0.7463 0.9741
0.8050 0.2804 0.0483
0.7804 0.3050 0.5483
0.1950 0.7196 0.9517
0.2463 0.2868 0.4741
0.0000 0.0000 0.5000
0.5000 0.0000 0.5000
0.5000 0.5000 0.0000
0.5000 0.0000 0.0000
0.0000 0.0000 0.0000
0.5000 0.5000 0.5000

=====

Cs4Pm3TmSe8 GGA-PBE optimized geometry; uncorrected formation energy = -1.72 eV/atom; DOS at the Fermi energy = 0.00 states/eV per atom
1.0
-8.0011 -2.5010 2.2209
3.7361 -5.8140 6.9125
2.1975 8.3777 0.4200
Se Tm Cs Pm
8 1 4 3
Direct
0.7751 0.3131 0.0378
0.7754 0.3132 0.5508
0.7373 0.6869 0.9622
0.2698 0.3096 0.5395
0.2246 0.6868 0.4492
0.7302 0.6904 0.4605
0.2627 0.3131 0.0378
0.2249 0.6869 0.9622
0.0000 0.5000 0.0000
0.5000 0.0000 0.5000
0.5000 0.0000 0.0000
0.0000 0.0000 0.5000
0.0000 0.0000 0.0000
0.0000 0.5000 0.5000
0.5000 0.5000 0.0000
0.5000 0.5000 0.5000

=====

Cs3Pm2TmSe6 GGA-PBE optimized geometry; uncorrected formation energy = -1.72 eV/atom; DOS at the Fermi energy = 0.00 states/eV per atom
1.0
7.4866 -0.0012 0.0001
-3.7425 6.4841 0.0001
-1.2486 -2.1619 8.3895
Tm Se Pm Cs
1 6 2 3
Direct
0.0000 0.0000 0.0000
0.3865 0.0623 0.1870
0.6135 0.9377 0.8130
0.7386 0.7386 0.1879
0.0623 0.3865 0.1870
0.2614 0.2614 0.8121
0.9377 0.6135 0.8130
0.6665 0.3335 0.0000
0.3335 0.6665 0.0000
0.8313 0.1687 0.5000
0.5000 0.5000 0.5000
0.1687 0.8313 0.5000

=====

Cs3Pm3TmSe8 GGA-PBE optimized geometry; uncorrected formation energy = -1.66 eV/atom; DOS at the Fermi energy = 0.77 states/eV per atom
1.0
8.5499 0.0000 0.0000
-4.2749 7.4101 -0.0347
0.0000 -4.9112 8.5978
Pm Cs Se Tm
3 3 8 1
Direct
0.5000 0.0000 0.5000
0.5000 0.5000 0.5000
0.0000 0.5000 0.5000
0.5000 0.5000 0.0000
0.0000 0.5000 0.0000
0.0000 0.0000 0.0000
0.2232 0.9608 0.6836
0.2699 0.5399 0.3102
0.2233 0.4465 0.6837
0.2624 0.0392 0.3164
0.7767 0.5535 0.3163
0.7768 0.0392 0.3164
0.7301 0.4601 0.6898
0.7376 0.9608 0.6836
0.0000 0.0000 0.5000

=====

Question: What is the DOS at the Fermi energy in the first record?
Answer: 0.30 states/eV per atom

=====

Question: What is the uncorrected formation energy in the second record?
Answer: -1.72 eV/atom